[1]
Below is a relaxed structure of Pa3SnBi6, with properties calculated at the PBE level.

Output
Formation enthalpy at 0 K: 1.75 eV per formula unit
Crystal system: trigonal
Space-group type: P-3m1
Raw total energy: -5.402 eV/atom

abc: 4.7516 4.7516 18.3874
angles: 90.00 90.00 120.00
Closest atoms and distances in Å follow each position.
Fractional coordinates of all 10 atoms:
Pa (0.0000, 0.0000, 0.0000)  6 Bi 3.14
Pa (0.0000, 0.0000, 0.3184)  6 Bi 3.13-3.18, 1 Sn 3.34
Pa (0.0000, 0.0000, 0.6816)  6 Bi 3.13-3.18, 1 Sn 3.34
Sn (0.0000, 0.0000, 0.5000)  6 Bi 3.25, 2 Pa 3.34
Bi (0.3333, 0.6667, 0.0832)  3 Pa 3.14
Bi (0.3333, 0.6667, 0.4053)  3 Pa 3.18, 3 Sn 3.25
Bi (0.3333, 0.6667, 0.7631)  3 Pa 3.13
Bi (0.6667, 0.3333, 0.2369)  3 Pa 3.13
Bi (0.6667, 0.3333, 0.5947)  3 Pa 3.18, 3 Sn 3.25
Bi (0.6667, 0.3333, 0.9168)  3 Pa 3.14

=====

[2]
Below is a relaxed structure of K2BSe3, with properties calculated at the PBE level.

Output
Crystal system: orthorhombic
Space-group type: Fmmm
Formation energy (no corrections): -4.040 eV per formula unit
ΔE to the lowest computed polymorph: 0 meV/atom
Raw total energy: -3.894 eV/atom

abc: 9.4623 8.5818 7.7579
angles: 70.57 58.79 50.64
Closest atoms and distances in Å follow each position.
Fractional coordinates of all 12 atoms:
K (0.2449, 0.7551, 0.7551)  6 Se 3.38-3.44, 2 B 3.60
K (0.2500, 0.2500, 0.2500)  4 Se 3.34
K (0.7500, 0.7500, 0.7500)  4 Se 3.34
K (0.7551, 0.2449, 0.2449)  6 Se 3.38-3.44, 2 B 3.60
B (0.3128, 0.3128, 0.6872)  3 Se 1.93-1.96
B (0.6872, 0.6872, 0.3128)  3 Se 1.93-1.96
Se (0.1780, 0.1780, 0.8220)  1 B 1.93
Se (0.2463, 0.5193, 0.4807)  1 B 1.96
Se (0.4807, 0.7537, 0.2463)  1 B 1.96
Se (0.5193, 0.2463, 0.7537)  1 B 1.96
Se (0.7537, 0.4807, 0.5193)  1 B 1.96
Se (0.8220, 0.8220, 0.1780)  1 B 1.93

=====

[3]
Below is a relaxed structure of CaLaS2Cl, with properties calculated at the PBE level.

Output
Crystal system: tetragonal
Space-group type: P4/mmm
Formation energy (no corrections): -7.867 eV per formula unit
ΔE to the lowest computed polymorph: 0 meV/atom
Raw total energy: -4.980 eV/atom

abc: 5.5296 5.5296 5.3657
angles: 90.00 90.00 90.00
Closest atoms and distances in Å follow each position.
Fractional coordinates of all 5 atoms:
Ca (0.0000, 0.0000, 0.0000)  8 S 3.85, 4 Cl 3.91
La (0.5000, 0.5000, 0.5000)  2 Cl 2.68, 4 S 2.76
S (0.0000, 0.5000, 0.5000)  2 La 2.76
S (0.5000, 0.0000, 0.5000)  2 La 2.76
Cl (0.5000, 0.5000, 0.0000)  2 La 2.68

=====

[4]
Below is a relaxed structure of Li2RhAu, with properties calculated at the PBE level.

Output
Formation enthalpy at 0 K: -0.49 eV per formula unit
Crystal system: tetragonal
Space-group type: P4mm
Raw total energy: -3.736 eV/atom

abc: 3.2843 3.2843 5.5424
angles: 90.00 90.00 90.00
Closest atoms and distances in Å follow each position.
Fractional coordinates of all 4 atoms:
Li (0.0000, 0.0000, 0.0000)  4 Au 2.67, 2 Rh 2.73-2.81, 4 Li 2.75
Li (0.5000, 0.5000, 0.2651)  4 Rh 2.64, 4 Li 2.75, 2 Au 2.76-2.78
Rh (0.0000, 0.0000, 0.4932)  6 Li 2.64-2.81, 4 Au 2.76
Au (0.5000, 0.5000, 0.7628)  6 Li 2.67-2.78, 4 Rh 2.76

=====

[5]
Below is a relaxed structure of Sm6Si3H, with properties calculated at the PBE level.

Output
Crystal system: monoclinic
Space-group type: P2_1/c
Raw total energy: -5.256 eV/atom

abc: 6.3193 8.0559 11.7059
angles: 90.00 122.68 90.00
Closest atoms and distances in Å follow each position.
Fractional coordinates of all 20 atoms:
Sm (0.0704, 0.1822, 0.4394)  1 H 2.76, 2 Si 2.82-3.08
Sm (0.0704, 0.3178, 0.9394)  1 H 2.76, 2 Si 2.82-3.08
Sm (0.2966, 0.6718, 0.4419)  1 H 2.70, 1 Si 2.86
Sm (0.2966, 0.8282, 0.9419)  1 H 2.70, 1 Si 2.86
Sm (0.3698, 0.0409, 0.2332)  1 H 2.48
Sm (0.3698, 0.4591, 0.7332)  1 H 2.48
Sm (0.6302, 0.5409, 0.2668)  1 H 2.48
Sm (0.6302, 0.9591, 0.7668)  1 H 2.48
Sm (0.7034, 0.1718, 0.0581)  1 H 2.70, 1 Si 2.86
Sm (0.7034, 0.3282, 0.5581)  1 H 2.70, 1 Si 2.86
Sm (0.9296, 0.6822, 0.0606)  1 H 2.76, 2 Si 2.82-3.08
Sm (0.9296, 0.8178, 0.5606)  1 H 2.76, 2 Si 2.82-3.08
Si (0.1764, 0.1188, 0.7491)  8 Sm 3.05-3.37
Si (0.1764, 0.3812, 0.2491)  8 Sm 3.05-3.37
Si (0.5000, 0.0000, 0.5000)  6 Sm 2.79-2.86
Si (0.5000, 0.5000, 0.0000)  6 Sm 2.79-2.86
Si (0.8236, 0.6188, 0.7509)  8 Sm 3.05-3.37
Si (0.8236, 0.8812, 0.2509)  8 Sm 3.05-3.37
H (0.0000, 0.0000, 0.0000)  6 Sm 2.48-2.76
H (0.0000, 0.5000, 0.5000)  6 Sm 2.48-2.76

=====

[6]
Below is a relaxed structure of NdTm3Sc6, with properties calculated at the PBE level.

Output
Formation enthalpy at 0 K: 3.97 eV per formula unit
Crystal system: trigonal
Space-group type: R3
ΔE to the lowest computed polymorph: 240 meV/atom
Raw total energy: -5.220 eV/atom

abc: 6.5251 6.5251 6.5251
angles: 90.04 90.04 90.04
Closest atoms and distances in Å follow each position.
Fractional coordinates of all 10 atoms:
Nd (0.0000, 0.0000, 0.0000)  2 Tm 2.84-2.85, 3 Sc 3.10
Tm (0.2523, 0.2523, 0.2523)  1 Tm 2.80, 1 Nd 2.85
Tm (0.5001, 0.5001, 0.5001)  2 Tm 2.80, 3 Sc 3.05
Tm (0.7484, 0.7484, 0.7484)  1 Tm 2.80, 1 Nd 2.84
Sc (0.1692, 0.8297, 0.4989)  3 Tm 3.05-3.24
Sc (0.3345, 0.6639, 0.9988)  1 Nd 3.10, 2 Tm 3.20-3.21
Sc (0.4989, 0.1692, 0.8297)  3 Tm 3.05-3.24
Sc (0.6639, 0.9988, 0.3345)  1 Nd 3.10, 2 Tm 3.20-3.21
Sc (0.8297, 0.4989, 0.1692)  3 Tm 3.05-3.24
Sc (0.9988, 0.3345, 0.6639)  1 Nd 3.10, 2 Tm 3.20-3.21

=====

[7]
Below is a relaxed structure of TlHS5, with properties calculated at the PBE level.

Output
Crystal system: monoclinic
Space-group type: C2/c
Raw total energy: -3.630 eV/atom

abc: 8.5096 8.5096 7.6171
angles: 94.01 94.01 124.91
Closest atoms and distances in Å follow each position.
Fractional coordinates of all 14 atoms:
Tl (0.0000, 0.0000, 0.0000)  2 H 1.96
Tl (0.0000, 0.0000, 0.5000)  2 H 1.96
H (0.0316, 0.9684, 0.7500)  2 Tl 1.96
H (0.9684, 0.0316, 0.2500)  2 Tl 1.96
S (0.0670, 0.3424, 0.9518)  1 S 2.02
S (0.1678, 0.4024, 0.7161)  2 S 2.02-2.09
S (0.3424, 0.0670, 0.4518)  1 S 2.02
S (0.4024, 0.1678, 0.2161)  2 S 2.02-2.09
S (0.4655, 0.5345, 0.7500)  2 S 2.09
S (0.5345, 0.4655, 0.2500)  2 S 2.09
S (0.5976, 0.8322, 0.7839)  2 S 2.02-2.09
S (0.6576, 0.9330, 0.5482)  1 S 2.02
S (0.8322, 0.5976, 0.2839)  2 S 2.02-2.09
S (0.9330, 0.6576, 0.0482)  1 S 2.02

=====

[8]
Below is a relaxed structure of NaThI6, with properties calculated at the PBE level.

Output
Crystal system: triclinic
Space-group type: P-1
Formation energy (no corrections): -7.752 eV per formula unit
Raw total energy: -3.224 eV/atom

abc: 7.9024 7.9903 7.9948
angles: 67.51 63.00 62.92
Closest atoms and distances in Å follow each position.
Fractional coordinates of all 8 atoms:
Na (0.0000, 0.0000, 0.0000)  6 I 3.21-3.51
Th (0.5000, 0.5000, 0.5000)  6 I 3.04-3.17
I (0.0841, 0.7131, 0.7503)  1 Th 3.04, 1 Na 3.25
I (0.3091, 0.1997, 0.5602)  1 Th 3.17, 1 I 3.34, 1 Na 3.51
I (0.3803, 0.7313, 0.1435)  1 Th 3.04, 1 Na 3.21
I (0.6197, 0.2687, 0.8565)  1 Th 3.04, 1 Na 3.21
I (0.6909, 0.8003, 0.4398)  1 Th 3.17, 1 I 3.34, 1 Na 3.51
I (0.9159, 0.2869, 0.2497)  1 Th 3.04, 1 Na 3.25

=====

[9]
Below is a relaxed structure of HfInO2, with properties calculated at the PBE level.

Output
Crystal system: tetragonal
Space-group type: I-42d
Formation energy (no corrections): -8.683 eV per formula unit
Raw total energy: -7.823 eV/atom

abc: 6.4474 6.4474 6.4474
angles: 122.89 122.89 85.06
Closest atoms and distances in Å follow each position.
Fractional coordinates of all 8 atoms:
Hf (0.0000, 0.0000, 0.0000)  4 O 1.95
Hf (0.7500, 0.2500, 0.5000)  4 O 1.95
In (0.2500, 0.7500, 0.5000)  12 O 3.49-3.89, 4 In 3.89, 4 Hf 3.89
In (0.5000, 0.5000, 0.0000)  12 O 3.49-3.89, 4 Hf 3.89, 4 In 3.89
O (0.3750, 0.1552, 0.2802)  2 Hf 1.95
O (0.8448, 0.1250, 0.2198)  2 Hf 1.95
O (0.8750, 0.0948, 0.7198)  2 Hf 1.95
O (0.9052, 0.6250, 0.7802)  2 Hf 1.95

=====

[10]
Below is a relaxed structure of Pb3Br5F, with properties calculated at the PBE level.

Output
Crystal system: monoclinic
Space-group type: C2/m
Formation energy (no corrections): -9.994 eV per formula unit
Raw total energy: -3.484 eV/atom

abc: 8.7595 8.7595 9.6711
angles: 106.61 106.61 70.27
Closest atoms and distances in Å follow each position.
Fractional coordinates of all 18 atoms:
Pb (0.0000, 0.0000, 0.0000)  2 F 2.57
Pb (0.0000, 0.0000, 0.5000)  2 F 2.49
Pb (0.2449, 0.2449, 0.4015)  1 F 2.56
Pb (0.3400, 0.3400, 0.8489)  6 Br 2.88-3.18
Pb (0.6600, 0.6600, 0.1511)  6 Br 2.88-3.18
Pb (0.7551, 0.7551, 0.5985)  1 F 2.56
Br (0.0044, 0.6290, 0.3740)  4 Pb 3.12-3.35
Br (0.2249, 0.2249, 0.0765)  3 Pb 3.04-3.18
Br (0.2987, 0.7013, 0.0000)  3 Pb 3.01-3.03
Br (0.3710, 0.9956, 0.6260)  4 Pb 3.12-3.35
Br (0.4405, 0.4405, 0.6379)  2 Pb 2.88-2.93
Br (0.5595, 0.5595, 0.3621)  2 Pb 2.88-2.93
Br (0.6290, 0.0044, 0.3740)  4 Pb 3.12-3.35
Br (0.7013, 0.2987, 0.0000)  3 Pb 3.01-3.03
Br (0.7751, 0.7751, 0.9235)  3 Pb 3.04-3.18
Br (0.9956, 0.3710, 0.6260)  4 Pb 3.12-3.35
F (0.0547, 0.0547, 0.2828)  3 Pb 2.49-2.57
F (0.9453, 0.9453, 0.7172)  3 Pb 2.49-2.57